Ac5IrPt4: optimized geometry, PBE-GGA.

abc: 15.762 15.762 15.762
angles: 164.04 164.04 22.65
Fractional positions:
Ac  0.000  0.000  0.000
Ac  0.200  0.200  0.000
Ac  0.403  0.403  0.000
Ac  0.597  0.597  0.000
Ac  0.800  0.800  0.000
Ir  0.500  0.500  0.000
Pt  0.101  0.101  0.000
Pt  0.301  0.301  0.000
Pt  0.699  0.699  0.000
Pt  0.899  0.899  0.000

Values from the calculation:
Formation energy = -1.040 eV per atom
Magnetic moment = 0.00 μB per formula unit
DOS(E_F) = 5.9 states/eV/cell
Raw total energy = -63.97 eV for the cell shown

Ac8Ir2Pt: optimized geometry, PBE-GGA.

abc: 8.479 8.479 7.294
angles: 104.73 104.73 62.09
Fractional positions:
Ac  0.113  0.113  0.250
Ac  0.128  0.601  0.240
Ac  0.371  0.371  0.753
Ac  0.399  0.872  0.760
Ac  0.601  0.128  0.240
Ac  0.629  0.629  0.247
Ac  0.872  0.399  0.760
Ac  0.887  0.887  0.750
Ir  0.237  0.237  0.999
Ir  0.763  0.763  0.001
Pt  0.500  0.500  0.500

Values from the calculation:
Formation energy = -0.489 eV per atom
Magnetic moment = 0.00 μB per formula unit
DOS(E_F) = 14.3 states/eV/cell
Raw total energy = -62.00 eV for the cell shown